Record 1
# Ni4MoF12

A relaxed Ni4MoF12 crystal (PBE+U, Alexandria via LeMat-Bulk).

Density of states at the Fermi level: 0.0 states/eV/cell
E_tot: -4.505 eV/atom

abc: 7.949 7.949 7.320
angles: 90.00 90.00 90.00
Space group I4/mmm (No. 139)
Symmetry-distinct sites (fractional):
1 Ni 0.250 0.250 0.250 (multiplicity 8)
2 Mo 0.000 0.000 0.000 (multiplicity 2)
3 F 0.000 0.218 0.169 (multiplicity 16)
4 F 0.196 0.196 0.500 (multiplicity 8)

Record 2
# NiMo2F

A relaxed NiMo2F crystal (PBE+U, Alexandria via LeMat-Bulk).

Polymorph energy (0 for the lowest one): 0.0 meV per atom
Density of states at the Fermi level: 13.6 states/eV/cell

abc: 5.985 5.985 5.985
angles: 90.00 90.00 90.00
Space group Fm-3m (No. 225)
Symmetry-distinct sites (fractional):
1 Ni 0.000 0.000 0.000 (multiplicity 4)
2 Mo 0.250 0.250 0.250 (multiplicity 8)
3 F 0.000 0.000 0.500 (multiplicity 4)

Record 3
# Ni2MoF11

A relaxed Ni2MoF11 crystal (PBE+U, Alexandria via LeMat-Bulk).

Density of states at the Fermi level: 4.6 states/eV/cell
E_tot: -4.201 eV/atom

abc: 7.021 9.898 10.684
angles: 90.00 90.00 90.00
Space group Ibam (No. 72)
Symmetry-distinct sites (fractional):
1 Ni 0.171 0.159 0.000 (multiplicity 8)
2 Mo 0.000 0.500 0.250 (multiplicity 4)
3 F 0.000 0.000 0.000 (multiplicity 4)
4 F 0.089 0.367 0.138 (multiplicity 16)
5 F 0.115 0.217 0.500 (multiplicity 8)
6 F 0.238 0.418 0.337 (multiplicity 16)

Record 4
# NiMoF3

A relaxed NiMoF3 crystal (PBE+U, Alexandria via LeMat-Bulk).

Polymorph energy (0 for the lowest one): 0.0 meV per atom
Density of states at the Fermi level: 2.1 states/eV/cell

abc: 4.321 4.321 4.321
angles: 90.00 90.00 90.00
Space group Pm-3m (No. 221)
Symmetry-distinct sites (fractional):
1 Ni 0.000 0.000 0.000 (multiplicity 1)
2 Mo 0.500 0.500 0.500 (multiplicity 1)
3 F 0.000 0.500 0.500 (multiplicity 3)